Entry 1:
VASP calculation (GGA-PBEsol) on crystalline Er2Ni21B6 at its relaxed geometry.

Values from the calculation:
For the uncorrected energy, the calculation gives -6.648 eV per atom. As for the formation energy: -0.40 eV/atom.

a = 7.434 Å, b = 7.434 Å, c = 7.434 Å
α = 60.00°, β = 60.00°, γ = 60.00°
Fractional positions:
1 Er 0.750 0.750 0.750
2 Er 0.250 0.250 0.250
3 Ni 0.000 0.000 0.000
4 Ni 0.613 0.162 0.613
5 Ni 0.613 0.613 0.162
6 Ni 0.613 0.613 0.613
7 Ni 0.162 0.613 0.613
8 Ni 0.387 0.838 0.387
9 Ni 0.387 0.387 0.838
10 Ni 0.387 0.387 0.387
11 Ni 0.838 0.387 0.387
12 Ni 0.663 0.337 0.000
13 Ni 0.000 0.337 0.000
14 Ni 0.000 0.337 0.663
15 Ni 0.000 0.000 0.337
16 Ni 0.663 0.000 0.337
17 Ni 0.000 0.663 0.337
18 Ni 0.000 0.000 0.663
19 Ni 0.000 0.663 0.000
20 Ni 0.663 0.000 0.000
21 Ni 0.337 0.663 0.000
22 Ni 0.337 0.000 0.663
23 Ni 0.337 0.000 0.000
24 B 0.270 0.270 0.730
25 B 0.730 0.270 0.730
26 B 0.730 0.270 0.270
27 B 0.730 0.730 0.270
28 B 0.270 0.730 0.270
29 B 0.270 0.730 0.730

---

Entry 2:
VASP calculation (GGA-PBEsol) on crystalline Er3B5O12 at its relaxed geometry.

Values from the calculation:
For the uncorrected energy, the calculation gives -8.672 eV per atom. The value obtained for the uncorrected formation energy is -3.029 eV per atom.

a = 4.585 Å, b = 12.430 Å, c = 12.777 Å
α = 90.00°, β = 90.00°, γ = 90.00°
Fractional positions:
1 Er 0.999 0.694 0.635
2 Er 0.001 0.306 0.365
3 Er 0.001 0.194 0.865
4 Er 0.999 0.806 0.865
5 Er 0.000 0.500 0.132
6 Er 0.001 0.194 0.135
7 Er 0.000 0.500 0.868
8 Er 0.001 0.306 0.635
9 Er 0.000 0.000 0.632
10 Er 0.999 0.694 0.365
11 Er 0.999 0.806 0.135
12 Er 0.000 0.000 0.368
13 B 0.500 0.500 0.338
14 B 0.500 0.000 0.838
15 B 0.537 0.850 0.500
16 B 0.532 0.151 0.702
17 B 0.537 0.650 0.000
18 B 0.468 0.651 0.202
19 B 0.532 0.349 0.798
20 B 0.456 0.374 0.500
21 B 0.500 0.000 0.162
22 B 0.468 0.849 0.702
23 B 0.456 0.126 0.000
24 B 0.463 0.350 0.000
25 B 0.468 0.849 0.298
26 B 0.463 0.150 0.500
27 B 0.468 0.651 0.798
28 B 0.544 0.626 0.500
29 B 0.544 0.874 0.000
30 B 0.532 0.151 0.298
31 B 0.500 0.500 0.662
32 B 0.532 0.349 0.202
33 O 0.309 0.564 0.733
34 O 0.661 0.145 0.405
35 O 0.665 0.574 0.404
36 O 0.309 0.936 0.767
37 O 0.658 0.250 0.250
38 O 0.665 0.926 0.904
39 O 0.691 0.436 0.267
40 O 0.242 0.430 0.000
41 O 0.335 0.426 0.596
42 O 0.780 0.848 0.704
43 O 0.342 0.750 0.750
44 O 0.309 0.564 0.267
45 O 0.691 0.064 0.767
46 O 0.220 0.152 0.296
47 O 0.242 0.070 0.500
48 O 0.696 0.761 0.000
49 O 0.760 0.361 0.500
50 O 0.691 0.064 0.233
51 O 0.661 0.355 0.095
52 O 0.339 0.855 0.595
53 O 0.342 0.750 0.250
54 O 0.658 0.250 0.750
55 O 0.339 0.855 0.405
56 O 0.665 0.926 0.096
57 O 0.335 0.074 0.904
58 O 0.780 0.652 0.796
59 O 0.758 0.570 0.000
60 O 0.220 0.348 0.796
61 O 0.696 0.739 0.500
62 O 0.780 0.848 0.296
63 O 0.309 0.936 0.233
64 O 0.661 0.145 0.595
65 O 0.304 0.261 0.500
66 O 0.665 0.574 0.596
67 O 0.240 0.861 0.000
68 O 0.220 0.348 0.204
69 O 0.780 0.652 0.204
70 O 0.661 0.355 0.905
71 O 0.335 0.426 0.404
72 O 0.220 0.152 0.704
73 O 0.335 0.074 0.096
74 O 0.691 0.436 0.733
75 O 0.339 0.645 0.905
76 O 0.760 0.139 0.000
77 O 0.758 0.930 0.500
78 O 0.339 0.645 0.095
79 O 0.240 0.639 0.500
80 O 0.304 0.239 0.000

---

Entry 3:
VASP calculation (GGA-PBEsol) on crystalline Er2B4O9 at its relaxed geometry.

Values from the calculation:
For the uncorrected energy, the calculation gives -8.620 eV per atom. The value obtained for the uncorrected formation energy is -2.942 eV per atom.

a = 6.082 Å, b = 6.328 Å, c = 7.420 Å
α = 102.82°, β = 97.43°, γ = 102.44°
Fractional positions:
1 Er 0.113 0.325 0.641
2 Er 0.449 0.909 0.711
3 Er 0.551 0.091 0.289
4 Er 0.887 0.675 0.359
5 B 0.004 0.857 0.808
6 B 0.265 0.666 0.019
7 B 0.375 0.643 0.350
8 B 0.340 0.314 0.072
9 B 0.660 0.686 0.928
10 B 0.625 0.357 0.650
11 B 0.735 0.334 0.981
12 B 0.996 0.143 0.192
13 O 0.071 0.959 0.673
14 O 0.136 0.715 0.854
15 O 0.223 0.425 0.958
16 O 0.219 0.593 0.479
17 O 0.234 0.737 0.214
18 O 0.191 0.125 0.122
19 O 0.416 0.180 0.551
20 O 0.496 0.206 0.976
21 O 0.534 0.538 0.748
22 O 0.466 0.462 0.252
23 O 0.504 0.794 0.024
24 O 0.584 0.820 0.449
25 O 0.809 0.875 0.878
26 O 0.766 0.263 0.786
27 O 0.781 0.407 0.521
28 O 0.777 0.575 0.042
29 O 0.864 0.285 0.146
30 O 0.929 0.041 0.327

---

Entry 4:
VASP calculation (GGA-PBEsol) on crystalline Er4B6O15 at its relaxed geometry.

Values from the calculation:
For the uncorrected energy, the calculation gives -8.660 eV per atom. The value obtained for the uncorrected formation energy is -3.038 eV per atom.

a = 4.338 Å, b = 6.175 Å, c = 18.532 Å
α = 96.03°, β = 90.00°, γ = 110.56°
Fractional positions:
1 Er 0.351 0.273 0.304
2 Er 0.339 0.272 0.100
3 Er 0.066 0.728 0.400
4 Er 0.077 0.727 0.196
5 Er 0.923 0.273 0.804
6 Er 0.934 0.272 0.600
7 Er 0.661 0.728 0.900
8 Er 0.649 0.727 0.696
9 B 0.357 0.337 0.475
10 B 0.799 0.190 0.413
11 B 0.802 0.138 0.195
12 B 0.390 0.190 0.913
13 B 0.336 0.138 0.695
14 B 0.021 0.663 0.025
15 B 0.979 0.337 0.975
16 B 0.664 0.862 0.305
17 B 0.610 0.810 0.087
18 B 0.198 0.862 0.805
19 B 0.201 0.810 0.587
20 B 0.643 0.663 0.525
21 O 0.002 0.254 0.481
22 O 0.452 0.165 0.430
23 O 0.469 0.132 0.197
24 O 0.844 0.033 0.120
25 O 0.190 0.033 0.620
26 O 0.057 0.367 0.204
27 O 0.252 0.254 0.981
28 O 0.713 0.165 0.930
29 O 0.663 0.132 0.697
30 O 0.918 0.356 0.360
31 O 0.492 0.580 0.449
32 O 0.438 0.356 0.860
33 O 0.310 0.367 0.704
34 O 0.088 0.580 0.949
35 O 0.912 0.420 0.051
36 O 0.690 0.633 0.296
37 O 0.562 0.644 0.140
38 O 0.508 0.420 0.551
39 O 0.082 0.644 0.640
40 O 0.337 0.868 0.303
41 O 0.287 0.835 0.070
42 O 0.748 0.746 0.019
43 O 0.943 0.633 0.796
44 O 0.810 0.967 0.380
45 O 0.156 0.967 0.880
46 O 0.531 0.868 0.803
47 O 0.126 0.000 0.750
48 O 0.874 0.000 0.250
49 O 0.548 0.835 0.570
50 O 0.998 0.746 0.519

---

Entry 5:
VASP calculation (GGA-PBEsol) on crystalline ErScB2O6 at its relaxed geometry.

Values from the calculation:
For the uncorrected energy, the calculation gives -8.805 eV per atom. The value obtained for the uncorrected formation energy is -3.099 eV per atom.

a = 4.847 Å, b = 4.847 Å, c = 5.941 Å
α = 65.92°, β = 65.92°, γ = 60.00°
Fractional positions:
1 Sc 0.500 0.500 0.500
2 B 0.246 0.246 0.262
3 B 0.754 0.754 0.738
4 O 0.262 0.954 0.259
5 O 0.954 0.525 0.259
6 O 0.525 0.262 0.259
7 O 0.046 0.475 0.741
8 O 0.475 0.738 0.741
9 O 0.738 0.046 0.741
10 Er 0.000 0.000 0.000

---

Entry 6:
VASP calculation (GGA-PBEsol) on crystalline ErBPtRh2 at its relaxed geometry.

Values from the calculation:
For the uncorrected energy, the calculation gives -7.921 eV per atom. As for the formation energy: -0.88 eV/atom.

a = 4.156 Å, b = 4.165 Å, c = 4.165 Å
α = 90.00°, β = 90.00°, γ = 90.00°
Fractional positions:
1 B 0.500 0.500 0.500
2 Rh 0.500 0.000 0.500
3 Rh 0.500 0.500 0.000
4 Pt 0.000 0.500 0.500
5 Er 0.000 0.000 0.000

---

- Which value of uncorrected energy does entry 6 give?
  -7.921 eV per atom